# 1
Entry from Alexandria: a geometry-optimized MnInBr3 structure (GGA-PBE).

Results
Crystal system: orthorhombic
DOS(E_F) (states/eV/cell): 0.00

Cell: 4.0099 9.7071 15.4377 Å, 90.00 90.00 90.00°
Closest atoms and distances in Å follow each position.
Element x y z (fractional)
Br 0.7500 0.9800 0.3996  3 Mn 2.74-2.76
In 0.2503 0.4813 0.6740  4 Br 3.18-3.50
Br 0.7499 0.3234 0.5043  2 Mn 2.70
Mn 0.7500 0.3396 0.9467  6 Br 2.60-2.76
Br 0.2501 0.6766 0.4957  2 Mn 2.70
In 0.7497 0.0187 0.1740  4 Br 3.18-3.50
Br 0.7501 0.7299 0.7073  1 Mn 2.60
In 0.7497 0.5187 0.3260  4 Br 3.18-3.50
Br 0.7501 0.2299 0.7927  1 Mn 2.60
Mn 0.2500 0.1604 0.4467  6 Br 2.60-2.76
Br 0.2501 0.1766 0.0043  2 Mn 2.70
Br 0.2499 0.2701 0.2927  1 Mn 2.60
Br 0.2500 0.0200 0.6004  3 Mn 2.74-2.76
In 0.2503 0.9813 0.8260  4 Br 3.18-3.50
Br 0.2499 0.7701 0.2073  1 Mn 2.60
Mn 0.2500 0.6604 0.0533  6 Br 2.60-2.76
Br 0.7499 0.8234 0.9957  2 Mn 2.70
Br 0.7500 0.4800 0.1004  3 Mn 2.74-2.76
Mn 0.7500 0.8396 0.5533  6 Br 2.60-2.76
Br 0.2500 0.5200 0.8996  3 Mn 2.74-2.76



# 2
Entry from Alexandria: a geometry-optimized MnInBr3 structure (GGA-PBE).

Results
Crystal system: cubic
DOS(E_F) (states/eV/cell): 0.00

Cell: 5.3336 5.3336 5.3336 Å, 90.00 90.00 90.00°
Closest atoms and distances in Å follow each position.
Element x y z (fractional)
Br 0.0000 0.0000 0.5000  2 Mn 2.67
Br 0.5000 0.0000 0.0000  2 Mn 2.67
Mn 0.0000 0.0000 0.0000  6 Br 2.67
Br 0.0000 0.5000 0.0000  2 Mn 2.67
In 0.5000 0.5000 0.5000  12 Br 3.77



# 3
Entry from Alexandria: a geometry-optimized MnInBr4 structure (GGA-PBE).

Results
Crystal system: cubic
DOS(E_F) (states/eV/cell): 3.39

Cell: 6.5095 6.5095 6.5095 Å, 60.00 60.00 60.00°
Closest atoms and distances in Å follow each position.
Element x y z (fractional)
Br 0.3750 0.3750 0.8749  6 Br 3.25-3.26
Br 0.3750 0.8749 0.3750  6 Br 3.25-3.26
In 0.7500 0.7500 0.7500  12 Br 3.82, 4 Mn 3.99
Mn 0.0000 0.0000 0.0000  12 Br 3.82, 4 In 3.99
Br 0.8749 0.3750 0.3750  6 Br 3.25-3.26
Br 0.3750 0.3750 0.3750  6 Br 3.25-3.26



# 4
Entry from Alexandria: a geometry-optimized MnInBr6 structure (GGA-PBE).

Results
Crystal system: monoclinic

Cell: 7.7978 6.7824 7.0777 Å, 99.35 105.99 125.08°
Closest atoms and distances in Å follow each position.
Element x y z (fractional)
Br 0.3574 0.1390 0.2836  1 Mn 2.44
Br 0.7315 0.4660 0.0000  1 In 2.59
Br 0.2685 0.5340 0.0000  1 In 2.59
Br 0.6426 0.8610 0.7164  1 Mn 2.44
Br 0.0738 0.8554 0.7164  1 Mn 2.44
In 0.5000 0.0000 0.0000  6 Br 2.59-2.82
Br 0.9262 0.1446 0.2836  1 Mn 2.44
Mn 0.0000 0.0000 0.0000  4 Br 2.44



Total magnetic moment: 5.00; 5.00; 8.03; 3.99 (μB per formula unit)
Calculated density: 4.5; 4.5; 4.2; 4.0 (g cm⁻³)
Uncorrected formation energy: -3.66; -3.31; 2.77; -5.21 (eV/f.u.)